Entry from the Alexandria database: a relaxed Sc3TcO crystal (PBE-GGA).

Properties
uncorrected formation energy	-1248	meV/atom
density of states at the Fermi level	0.52	states/eV per atom
SG	P-1 (2)

```
Sc3TcO
1.0
-1.1404 3.8516 -3.4085
-5.5487 -0.9129 2.0676
2.9495 3.4827 3.6957
Sc Tc O
6 2 2
Direct
0.6862 0.5302 0.9621
0.5590 0.1664 0.4124
0.0197 0.8961 0.5066
0.1443 0.4714 0.6451
0.5616 0.9549 0.8235
0.1469 0.2598 0.0562
0.2208 0.8083 0.0989
0.4851 0.6180 0.3698
0.3528 0.2131 0.7343
0.8529 0.2132 0.7343
```

=====

Entry from the Alexandria database: a relaxed SmHoCd crystal (PBE-GGA).

Properties
density of states at the Fermi level	1.37	states/eV per atom
SG	Amm2 (38)
formation energy from the elements	-0.114	eV per atom

```
SmHoCd
1.0
3.5065 0.0307 -0.3189
-0.0773 3.4490 -0.5178
1.3025 0.4066 14.2639
Sm Ho Cd
2 2 2
Direct
0.5602 0.7204 0.4409
0.5597 0.5667 0.1334
0.0598 0.8284 0.6568
0.5593 0.4145 0.8290
0.0594 0.9882 0.9764
0.0602 0.1440 0.2881
```

=====

no.,spin magnetization (μB/atom),energy relative to the lowest polymorph listed for this composition (meV per atom)
1,0.00,75
2,0.03,80